# 1
{
  "formula": "CePd2Au2",
  "functional": "PBE",
  "state": "relaxed",
  "final_energy_ev_per_fu": -25.5,
  "relative_energy_mev_per_atom": 0.0,
  "mass_density_g_cm3": 12.4,
  "lattice": [[-2.3457, 2.9749, 3.5935], [2.3457, -2.9749, 3.5935], [2.3457, 2.9749, -3.5935]],
  "species": ["Ce", "Pd", "Pd", "Au", "Au"],
  "fractional_positions": [[0.0000, 0.0000, 0.0000], [0.2777, 0.5000, 0.7777], [0.7223, 0.5000, 0.2223], [0.3107, 0.8107, 0.5000], [0.6893, 0.1893, 0.5000]]
}


# 2
{
  "formula": "SiPAu2",
  "functional": "PBE",
  "state": "relaxed",
  "final_energy_ev_per_fu": -15.9,
  "relative_energy_mev_per_atom": 318.6,
  "mass_density_g_cm3": 10.9,
  "lattice": [[2.7523, -3.5483, 0.0000], [2.7523, 3.5483, 0.0000], [0.0000, 0.0000, 3.5347]],
  "species": ["Si", "P", "Au", "Au"],
  "fractional_positions": [[0.0000, 0.0000, 0.0000], [0.5000, 0.5000, 0.0000], [0.0000, 0.5000, 0.5000], [0.5000, 0.0000, 0.5000]]
}


# 3
{
  "formula": "ScCdCoAu",
  "functional": "PBE",
  "state": "relaxed",
  "final_energy_ev_per_fu": -18.6,
  "mass_density_g_cm3": 9.9,
  "lattice": [[0.0000, 3.2659, 3.2659], [3.2659, 0.0000, 3.2659], [3.2659, 3.2659, 0.0000]],
  "species": ["Sc", "Cd", "Co", "Au"],
  "fractional_positions": [[0.0000, 0.0000, 0.0000], [0.5000, 0.5000, 0.5000], [0.7500, 0.7500, 0.7500], [0.2500, 0.2500, 0.2500]]
}